No. 1
This record from Alexandria describes a geometry-optimized SrBeW2 structure. The functional is GGA-PBEsol.

The structure in CIF format:
```
data_SrBeW2
_space_group_name_H-M_alt 'P 4/m m m'
_space_group_IT_number 123
_space_group_name_Hall '-P 4 2'
_cell_length_a 3.195
_cell_length_b 3.195
_cell_length_c 7.153
_cell_angle_alpha 90.00
_cell_angle_beta 90.00
_cell_angle_gamma 90.00
loop_
_atom_site_label
_atom_site_type_symbol
_atom_site_fract_x
_atom_site_fract_y
_atom_site_fract_z
Sr1 Sr 0.000 0.000 0.000
Be1 Be 0.000 0.000 0.500
W1 W 0.500 0.500 0.341
```

## Properties
calculated total energy: -7.522 eV per atom
total magnetic moment: 0.0000 μB per atom
DOS at the Fermi energy: 0.72 states/eV per atom

=====

No. 2
This record from Alexandria describes a geometry-optimized RbWN2 structure. The functional is GGA-PBEsol.

The structure in CIF format:
```
data_RbWN2
_space_group_name_H-M_alt 'F m -3 m'
_space_group_IT_number 225
_space_group_name_Hall '-F 4 2 3'
_cell_length_a 5.754
_cell_length_b 5.754
_cell_length_c 5.754
_cell_angle_alpha 90.00
_cell_angle_beta 90.00
_cell_angle_gamma 90.00
loop_
_atom_site_label
_atom_site_type_symbol
_atom_site_fract_x
_atom_site_fract_y
_atom_site_fract_z
Rb1 Rb 0.000 0.000 0.000
W1 W 0.000 0.000 0.500
N1 N 0.250 0.250 0.250
```

## Properties
calculated total energy: -6.169 eV per atom
E_form (uncorrected): 1802.4 meV/atom
energy above the lowest structure with this stoichiometry: 2294.0 meV/atom
total magnetic moment: 0.0059 μB per atom
DOS at the Fermi energy: 0.81 states/eV per atom

=====

No. 3
This record from Alexandria describes a geometry-optimized HRh3W structure. The functional is GGA-PBEsol.

The structure in CIF format:
```
data_HRh3W
_space_group_name_H-M_alt 'P m -3 m'
_space_group_IT_number 221
_space_group_name_Hall '-P 4 2 3'
_cell_length_a 3.867
_cell_length_b 3.867
_cell_length_c 3.867
_cell_angle_alpha 90.00
_cell_angle_beta 90.00
_cell_angle_gamma 90.00
loop_
_atom_site_label
_atom_site_type_symbol
_atom_site_fract_x
_atom_site_fract_y
_atom_site_fract_z
H1 H 0.000 0.000 0.000
Rh1 Rh 0.000 0.000 0.500
W1 W 0.500 0.500 0.500
```

## Properties
calculated total energy: -8.435 eV per atom
total magnetic moment: 0.0002 μB per atom
DOS at the Fermi energy: 0.82 states/eV per atom

=====

No. 4
This record from Alexandria describes a geometry-optimized ZrTaTc structure. The functional is GGA-PBEsol.

The structure in CIF format:
```
data_ZrTaTc
_space_group_name_H-M_alt 'P 3 m 1'
_space_group_IT_number 156
_cell_length_a 3.0869
_cell_length_b 3.0869
_cell_length_c 6.5025
_cell_angle_alpha 90.00
_cell_angle_beta 90.00
_cell_angle_gamma 120.00
loop_
_space_group_symop_operation_xyz
'x,y,z'
'-y,x-y,z'
'-x+y,-x,z'
'-y,-x,z'
'-x+y,y,z'
'x,x-y,z'
loop_
_atom_site_label
_atom_site_type_symbol
_atom_site_fract_x
_atom_site_fract_y
_atom_site_fract_z
Zr1 Zr 0.0000 0.0000 0.0000
Ta1 Ta 0.6667 0.3333 0.6263
Tc1 Tc 0.3333 0.6667 0.3320
```

## Properties
calculated total energy: -10.894 eV per atom
energy above the lowest structure with this stoichiometry: 366.1 meV/atom
total magnetic moment: 0.0000 μB per atom
DOS at the Fermi energy: 0.90 states/eV per atom

=====

No. 5
This record from Alexandria describes a geometry-optimized MgAl2As structure. The functional is GGA-PBEsol.

The structure in CIF format:
```
data_MgAl2As
_space_group_name_H-M_alt 'C m m m'
_space_group_IT_number 65
_space_group_name_Hall '-C 2 2'
_cell_length_a 5.549
_cell_length_b 8.627
_cell_length_c 3.024
_cell_angle_alpha 90.00
_cell_angle_beta 90.00
_cell_angle_gamma 90.00
loop_
_atom_site_label
_atom_site_type_symbol
_atom_site_fract_x
_atom_site_fract_y
_atom_site_fract_z
Mg1 Mg 0.000 0.000 0.000
Al1 Al 0.250 0.250 0.500
As1 As 0.000 0.500 0.000
```

## Properties
calculated total energy: -3.722 eV per atom
energy above the lowest structure with this stoichiometry: 5.9 meV/atom
total magnetic moment: 0.0000 μB per atom
DOS at the Fermi energy: 0.39 states/eV per atom

=====

No. 6
This record from Alexandria describes a geometry-optimized InAg2Pt2 structure. The functional is GGA-PBEsol.

The structure in CIF format:
```
data_InAg2Pt2
_space_group_name_H-M_alt 'I 4/m m m'
_space_group_IT_number 139
_space_group_name_Hall '-I 4 2'
_cell_length_a 3.718
_cell_length_b 3.718
_cell_length_c 13.494
_cell_angle_alpha 90.00
_cell_angle_beta 90.00
_cell_angle_gamma 90.00
loop_
_atom_site_label
_atom_site_type_symbol
_atom_site_fract_x
_atom_site_fract_y
_atom_site_fract_z
In1 In 0.000 0.000 0.000
Ag1 Ag 0.000 0.000 0.401
Pt1 Pt 0.000 0.500 0.250
```

## Properties
calculated total energy: -4.500 eV per atom
energy above the lowest structure with this stoichiometry: 105.4 meV/atom
total magnetic moment: 0.0000 μB per atom
DOS at the Fermi energy: 0.63 states/eV per atom

=====

No. 7
This record from Alexandria describes a geometry-optimized Ca2BeTl structure. The functional is GGA-PBEsol.

The structure in CIF format:
```
data_Ca2BeTl
_space_group_name_H-M_alt 'A m m 2'
_space_group_IT_number 38
_cell_length_a 4.515
_cell_length_b 3.970
_cell_length_c 11.545
_cell_angle_alpha 90.00
_cell_angle_beta 90.00
_cell_angle_gamma 90.00
loop_
_space_group_symop_operation_xyz
'x,y,z'
'-x,-y,z'
'-x,y,z'
'x,-y,z'
'x,y+1/2,z+1/2'
'-x,-y+1/2,z+1/2'
'-x,y+1/2,z+1/2'
'x,-y+1/2,z+1/2'
loop_
_atom_site_label
_atom_site_type_symbol
_atom_site_fract_x
_atom_site_fract_y
_atom_site_fract_z
Ca1 Ca 0.000 0.000 0.000
Ca2 Ca 0.500 0.000 0.300
Be1 Be 0.500 0.000 0.593
Tl1 Tl 0.000 0.000 0.711
```

## Properties
calculated total energy: -2.774 eV per atom
total magnetic moment: 0.0000 μB per atom
DOS at the Fermi energy: 0.68 states/eV per atom

=====

No. 8
This record from Alexandria describes a geometry-optimized In2CuRu structure. The functional is GGA-PBEsol.

The structure in CIF format:
```
data_In2CuRu
_space_group_name_H-M_alt 'P m m 2'
_space_group_IT_number 25
_cell_length_a 3.210
_cell_length_b 4.492
_cell_length_c 4.492
_cell_angle_alpha 90.00
_cell_angle_beta 90.00
_cell_angle_gamma 90.00
loop_
_space_group_symop_operation_xyz
'x,y,z'
'-x,-y,z'
'-x,y,z'
'x,-y,z'
loop_
_atom_site_label
_atom_site_type_symbol
_atom_site_fract_x
_atom_site_fract_y
_atom_site_fract_z
In1 In 0.000 0.000 0.000
In2 In 0.000 0.500 0.499
Cu1 Cu 0.500 0.000 0.500
Ru1 Ru 0.500 0.500 0.999
```

## Properties
calculated total energy: -5.059 eV per atom
total magnetic moment: 0.0000 μB per atom
DOS at the Fermi energy: 0.54 states/eV per atom

=====

No. 9
This record from Alexandria describes a geometry-optimized LiMoPt2 structure. The functional is GGA-PBEsol.

The structure in CIF format:
```
data_LiMoPt2
_space_group_name_H-M_alt 'P m m m'
_space_group_IT_number 47
_cell_length_a 2.718
_cell_length_b 3.829
_cell_length_c 5.426
_cell_angle_alpha 90.00
_cell_angle_beta 90.00
_cell_angle_gamma 90.00
loop_
_space_group_symop_operation_xyz
'x,y,z'
'-x,-y,-z'
'-x,-y,z'
'x,y,-z'
'x,-y,-z'
'-x,y,z'
'-x,y,-z'
'x,-y,z'
loop_
_atom_site_label
_atom_site_type_symbol
_atom_site_fract_x
_atom_site_fract_y
_atom_site_fract_z
Li1 Li 0.000 0.000 0.000
Mo1 Mo 0.000 0.000 0.500
Pt1 Pt 0.500 0.500 0.248
```

## Properties
calculated total energy: -7.243 eV per atom
energy above the lowest structure with this stoichiometry: 106.7 meV/atom
total magnetic moment: 0.0032 μB per atom
DOS at the Fermi energy: 0.83 states/eV per atom

=====

No. 10
This record from Alexandria describes a geometry-optimized TaInCo2 structure. The functional is GGA-PBEsol.

The structure in CIF format:
```
data_TaInCo2
_space_group_name_H-M_alt 'R -3 m'
_space_group_IT_number 166
_space_group_name_Hall '-R 3 2"'
_cell_length_a 3.0435
_cell_length_b 3.0435
_cell_length_c 22.6227
_cell_angle_alpha 90.00
_cell_angle_beta 90.00
_cell_angle_gamma 120.00
loop_
_atom_site_label
_atom_site_type_symbol
_atom_site_fract_x
_atom_site_fract_y
_atom_site_fract_z
Ta1 Ta 0.0000 0.0000 0.0000
In1 In 0.0000 0.0000 0.5000
Co1 Co 0.0000 0.0000 0.2570
```

## Properties
calculated total energy: -7.575 eV per atom
total magnetic moment: 0.0002 μB per atom
DOS at the Fermi energy: 0.93 states/eV per atom

=====

No. 11
This record from Alexandria describes a geometry-optimized MnCrAu4 structure. The functional is GGA-PBEsol.

The structure in CIF format:
```
data_MnCrAu4
_space_group_name_H-M_alt 'F -4 3 m'
_space_group_IT_number 216
_space_group_name_Hall 'F -4 2 3'
_cell_length_a 7.563
_cell_length_b 7.563
_cell_length_c 7.563
_cell_angle_alpha 90.00
_cell_angle_beta 90.00
_cell_angle_gamma 90.00
loop_
_atom_site_label
_atom_site_type_symbol
_atom_site_fract_x
_atom_site_fract_y
_atom_site_fract_z
Mn1 Mn 0.000 0.000 0.000
Cr1 Cr 0.250 0.250 0.750
Au1 Au 0.125 0.125 0.375
```

## Properties
calculated total energy: -5.550 eV per atom
total magnetic moment: 1.5092 μB per atom
DOS at the Fermi energy: 0.49 states/eV per atom

=====

No. 12
This record from Alexandria describes a geometry-optimized RbMn2Mo structure. The functional is GGA-PBEsol.

The structure in CIF format:
```
data_RbMn2Mo
_space_group_name_H-M_alt 'F m -3 m'
_space_group_IT_number 225
_space_group_name_Hall '-F 4 2 3'
_cell_length_a 6.713
_cell_length_b 6.713
_cell_length_c 6.713
_cell_angle_alpha 90.00
_cell_angle_beta 90.00
_cell_angle_gamma 90.00
loop_
_atom_site_label
_atom_site_type_symbol
_atom_site_fract_x
_atom_site_fract_y
_atom_site_fract_z
Rb1 Rb 0.000 0.000 0.000
Mn1 Mn 0.250 0.250 0.250
Mo1 Mo 0.000 0.000 0.500
```

## Properties
calculated total energy: -6.359 eV per atom
total magnetic moment: 1.2271 μB per atom
DOS at the Fermi energy: 1.10 states/eV per atom

=====

No. 13
This record from Alexandria describes a geometry-optimized SrLiOs structure. The functional is GGA-PBEsol.

The structure in CIF format:
```
data_SrLiOs
_space_group_name_H-M_alt 'P 3 m 1'
_space_group_IT_number 156
_cell_length_a 2.9907
_cell_length_b 2.9907
_cell_length_c 7.7516
_cell_angle_alpha 90.00
_cell_angle_beta 90.00
_cell_angle_gamma 120.00
loop_
_space_group_symop_operation_xyz
'x,y,z'
'-y,x-y,z'
'-x+y,-x,z'
'-y,-x,z'
'-x+y,y,z'
'x,x-y,z'
loop_
_atom_site_label
_atom_site_type_symbol
_atom_site_fract_x
_atom_site_fract_y
_atom_site_fract_z
Sr1 Sr 0.0000 0.0000 0.0000
Li1 Li 0.3333 0.6667 0.5761
Os1 Os 0.6667 0.3333 0.3126
```

## Properties
calculated total energy: -4.378 eV per atom
total magnetic moment: 0.0006 μB per atom
DOS at the Fermi energy: 1.18 states/eV per atom

=====

No. 14
This record from Alexandria describes a geometry-optimized SrReAuCl2 structure. The functional is GGA-PBEsol.

The structure in CIF format:
```
data_SrReAuCl2
_space_group_name_H-M_alt 'P 4/m m m'
_space_group_IT_number 123
_space_group_name_Hall '-P 4 2'
_cell_length_a 4.659
_cell_length_b 4.659
_cell_length_c 5.289
_cell_angle_alpha 90.00
_cell_angle_beta 90.00
_cell_angle_gamma 90.00
loop_
_atom_site_label
_atom_site_type_symbol
_atom_site_fract_x
_atom_site_fract_y
_atom_site_fract_z
Sr1 Sr 0.000 0.000 0.000
Re1 Re 0.500 0.500 0.500
Au1 Au 0.500 0.500 0.000
Cl1 Cl 0.000 0.500 0.500
```

## Properties
calculated total energy: -4.774 eV per atom
E_form (uncorrected): -151.1 meV/atom
total magnetic moment: 0.0008 μB per atom
DOS at the Fermi energy: 0.95 states/eV per atom

=====

No. 15
This record from Alexandria describes a geometry-optimized MgTa3Cr structure. The functional is GGA-PBEsol.

The structure in CIF format:
```
data_MgTa3Cr
_space_group_name_H-M_alt 'P m -3 m'
_space_group_IT_number 221
_space_group_name_Hall '-P 4 2 3'
_cell_length_a 4.610
_cell_length_b 4.610
_cell_length_c 4.610
_cell_angle_alpha 90.00
_cell_angle_beta 90.00
_cell_angle_gamma 90.00
loop_
_atom_site_label
_atom_site_type_symbol
_atom_site_fract_x
_atom_site_fract_y
_atom_site_fract_z
Mg1 Mg 0.000 0.000 0.000
Ta1 Ta 0.000 0.500 0.500
Cr1 Cr 0.500 0.500 0.500
```

## Properties
calculated total energy: -8.978 eV per atom
total magnetic moment: 0.0001 μB per atom
DOS at the Fermi energy: 0.65 states/eV per atom